5
Lattice="5.9387 0.0000 0.0000 0.0000 5.9387 0.0000 0.0000 0.0000 5.9387" Properties=species:S:1:pos:R:3 comment="GGA-PBEsol Ba3YPt, relaxed" ef_mev_per_atom=1021.6 space_group="No. 221" dos_ef_per_ev_atom=1.36 vol_a3_per_atom=41.89 pbc="T T T"
Ba 2.9693 0.0000 0.0000
Y 0.0000 0.0000 0.0000
Ba 0.0000 2.9693 0.0000
Ba 0.0000 0.0000 2.9693
Pt 2.9693 2.9693 2.9693

***

54
Lattice="8.3431 0.0000 -0.0100 0.0000 8.3566 0.0000 -0.0747 0.0000 8.3461" Properties=species:S:1:pos:R:3 comment="GGA-PBEsol Li2Ti6Zn3O16, relaxed" e_form_raw_ev_per_atom=-2.628 space_group="No. 4" dos_ef_per_ev_atom=0.00 vol_a3_per_atom=10.78 pbc="T T T"
Zn -0.0028 2.0304 2.0328
O 7.3632 1.1913 7.3902
O 5.0644 0.9040 5.0905
O 2.9744 3.2572 5.0750
Zn 4.2216 6.2869 2.1019
Zn 6.2853 8.3399 0.0421
Ti 7.3128 5.1314 1.1752
O 7.1163 0.8872 3.0006
O 5.2671 3.2429 7.2796
O 0.9052 5.3696 0.9459
Li 2.0964 0.0670 4.1479
O 5.1776 7.2034 7.1751
O 5.0264 5.3619 5.3608
O 7.1007 5.0880 7.4051
O 2.9362 1.0660 7.4519
O 3.0013 7.4211 1.0565
Ti 0.9556 0.9531 7.1608
Li 6.1720 4.2453 4.1882
O 3.0908 3.0251 1.1610
O 1.1677 0.9097 0.9309
O 7.1156 7.2007 5.0894
O 7.3939 3.2281 5.3467
Zn 1.9831 4.1617 8.2940
O 3.2040 5.0823 3.2456
Zn 8.2712 6.2087 6.3033
O 0.8745 7.4064 2.9894
O 0.8518 3.0100 7.2015
Li 3.0553 7.3135 7.3018
O 3.2420 1.1836 2.9753
Ti 7.3941 7.2909 3.2428
O 5.0637 1.0266 1.1470
O 7.4166 7.1883 1.1346
O 1.1521 5.0655 5.3355
O 5.0606 2.9956 3.1304
Ti 5.0887 5.2208 7.3140
O 7.1803 5.3887 2.9650
O 0.9565 7.4464 7.4236
O 7.3119 3.2682 0.9124
O 3.2047 5.2049 7.1891
Ti 1.0962 7.2260 1.1280
Zn 4.0468 2.1086 6.2342
Ti 5.1668 7.3758 5.2606
Ti 3.1797 1.0425 1.0221
Ti 7.1722 3.0477 7.2081
Ti 2.9884 5.3452 5.1500
Ti 0.8742 3.1126 5.0932
O 3.2078 7.1739 5.2057
O 5.3322 5.2442 0.8842
Li 5.2131 3.1352 1.0343
O 5.2940 7.4354 3.2611
O 1.1528 3.0224 3.2467
Ti 5.2800 1.1669 3.1861
Ti 3.1016 3.1975 3.0755
O 1.0881 1.2104 5.3711

***

5
Lattice="3.7639 0.0000 0.0000 0.0000 5.4246 0.0000 0.0000 0.0000 5.4246" Properties=species:S:1:pos:R:3 comment="GGA-PBEsol ReSn2BiN, relaxed" e_form_raw_ev_per_atom=0.286 space_group="No. 123" dos_ef_per_ev_atom=0.80 vol_a3_per_atom=22.15 pbc="T T T"
Sn 0.0000 2.7123 0.0000
Sn 0.0000 0.0000 2.7123
Re 0.0000 0.0000 0.0000
Bi 1.8820 2.7123 2.7123
N 1.8820 0.0000 0.0000

***

4
Lattice="-2.1676 -3.1619 -3.3220 2.5376 -1.4543 -4.1445 1.6610 -4.7753 -0.4117" Properties=species:S:1:pos:R:3 comment="GGA-PBEsol HfTl2Ge, relaxed" ef_mev_per_atom=438.9 space_group="No. 225" dos_ef_per_ev_atom=0.74 vol_a3_per_atom=23.07 pbc="T T T"
Tl 0.5078 -2.3479 -1.9695
Hf 1.0155 -4.6957 -3.9391
Tl 1.5233 -7.0436 -5.9086
Ge 0.0000 0.0000 0.0000

***

5
Lattice="4.9436 0.0000 0.0000 0.0000 5.0532 0.0000 0.0000 0.0000 5.0532" Properties=species:S:1:pos:R:3 comment="GGA-PBEsol KPRuS2, relaxed" e_form_raw_ev_per_atom=2.279 space_group="No. 123" dos_ef_per_ev_atom=1.66 vol_a3_per_atom=25.25 pbc="T T T"
K 0.0000 0.0000 0.0000
Ru 2.4718 2.5266 2.5266
P 2.4718 0.0000 0.0000
S 0.0000 2.5266 0.0000
S 0.0000 0.0000 2.5266

***

3
Lattice="-3.3519 1.7242 -0.3190 0.9511 -1.7009 3.2422 1.8503 3.8722 1.4886" Properties=species:S:1:pos:R:3 comment="GGA-PBEsol SrBeP, relaxed" ef_mev_per_atom=-726.6 space_group="No. 187" dos_ef_per_ev_atom=0.47 vol_a3_per_atom=18.76 pbc="T T T"
P -1.9175 0.5825 0.8681
Sr 0.4419 1.3769 2.7995
Be 0.0000 0.0000 0.0000

***

4
Lattice="3.5148 0.0000 0.0000 0.0000 3.6437 0.0000 0.0000 0.0000 3.6437" Properties=species:S:1:pos:R:3 comment="GGA-PBEsol TaCo2Ni, relaxed" ef_mev_per_atom=-313.6 space_group="No. 123" dos_ef_per_ev_atom=0.68 relative_energy_ev_per_atom=0.000 vol_a3_per_atom=11.67 pbc="T T T"
Ni 1.7574 1.8219 1.8219
Co 0.0000 1.8219 0.0000
Ta 1.7574 0.0000 0.0000
Co 0.0000 0.0000 1.8219

***

8
Lattice="-1.7328 -3.0081 6.1699 5.0431 -3.3046 -3.7102 3.1426 6.3276 0.4521" Properties=species:S:1:pos:R:3 comment="GGA-PBEsol BaLa2H, relaxed" space_group="No. 122" final_energy_ev_per_cell=-32.61 dos_ef_per_ev_atom=1.23 vol_a3_per_atom=33.10 pbc="T T T"
La 6.0544 0.5719 -0.9013
Ba 0.0000 0.0000 0.0000
H 2.7513 2.4155 2.4965
La 2.4450 0.1988 2.9986
La 3.1621 2.4593 0.2406
La 1.2443 -3.2001 3.4858
H 4.0929 1.5115 -1.6290
Ba 3.7016 -2.4006 0.4153

***

Repeat the sixth record exactly.
3
Lattice="-3.3519 1.7242 -0.3190 0.9511 -1.7009 3.2422 1.8503 3.8722 1.4886" Properties=species:S:1:pos:R:3 comment="GGA-PBEsol SrBeP, relaxed" ef_mev_per_atom=-726.6 space_group="No. 187" dos_ef_per_ev_atom=0.47 vol_a3_per_atom=18.76 pbc="T T T"
P -1.9175 0.5825 0.8681
Sr 0.4419 1.3769 2.7995
Be 0.0000 0.0000 0.0000

***

- What is the formula in the second record?
  Li2Ti6Zn3O16